No. 1
Density functional theory data (GGA-PBE) for crystalline ScAgRh2 at its relaxed geometry.

Structure (CIF):
```
data_ScAgRh2
_cell_length_a 2.9865
_cell_length_b 2.9865
_cell_length_c 25.9896
_cell_angle_alpha 90.00
_cell_angle_beta 90.00
_cell_angle_gamma 120.00
_space_group_name_H-M_alt 'R -3 m'
_space_group_IT_number 166
_space_group_name_Hall '-R 3 2"'
loop_
_atom_site_label
_atom_site_type_symbol
_atom_site_fract_x
_atom_site_fract_y
_atom_site_fract_z
Sc1 Sc 0.0000 0.0000 0.0000
Ag1 Ag 0.0000 0.0000 0.5000
Rh1 Rh 0.0000 0.0000 0.2560
```

For the total energy, the calculation gives -74.359 eV/cell. The energy of formation comes out at -21.7 kJ per mole of atoms. As for the volume: 201 Å³/cell. The value obtained for the magnetic moment is 0.00 μB/cell.

=====

No. 2
Density functional theory data (GGA-PBE) for crystalline ScAgRh2 at its relaxed geometry.

Structure (CIF):
```
data_ScAgRh2
_cell_length_a 6.4132
_cell_length_b 6.4132
_cell_length_c 6.4132
_cell_angle_alpha 90.00
_cell_angle_beta 90.00
_cell_angle_gamma 90.00
_space_group_name_H-M_alt 'F -4 3 m'
_space_group_IT_number 216
_space_group_name_Hall 'F -4 2 3'
loop_
_atom_site_label
_atom_site_type_symbol
_atom_site_fract_x
_atom_site_fract_y
_atom_site_fract_z
Sc1 Sc 0.0000 0.0000 0.0000
Ag1 Ag 0.2500 0.2500 0.7500
Rh1 Rh 0.0000 0.0000 0.5000
Rh2 Rh 0.2500 0.2500 0.2500
```

For the total energy, the calculation gives -99.407 eV/cell. The energy of formation comes out at -23.3 kJ per mole of atoms. As for the volume: 264 Å³/cell. The value obtained for the magnetic moment is 0.04 μB/cell.

=====

No. 3
Density functional theory data (GGA-PBE) for crystalline ScAgRh2 at its relaxed geometry.

Structure (CIF):
```
data_ScAgRh2
_cell_length_a 9.1702
_cell_length_b 2.9994
_cell_length_c 4.9185
_cell_angle_alpha 90.00
_cell_angle_beta 104.78
_cell_angle_gamma 90.00
_space_group_name_H-M_alt 'C 1 2/m 1'
_space_group_IT_number 12
loop_
_space_group_symop_operation_xyz
'x,y,z'
'-x,-y,-z'
'-x,y,-z'
'x,-y,z'
'x+1/2,y+1/2,z'
'-x+1/2,-y+1/2,-z'
'-x+1/2,y+1/2,-z'
'x+1/2,-y+1/2,z'
loop_
_atom_site_label
_atom_site_type_symbol
_atom_site_fract_x
_atom_site_fract_y
_atom_site_fract_z
Sc1 Sc 0.0000 0.0000 0.0000
Ag1 Ag 0.0000 0.5000 0.5000
Rh1 Rh 0.2411 0.5000 0.2474
```

For the total energy, the calculation gives -50.259 eV/cell. The energy of formation comes out at -30.0 kJ per mole of atoms. As for the volume: 131 Å³/cell. The value obtained for the magnetic moment is 0.00 μB/cell.

=====

No. 4
Density functional theory data (GGA-PBE) for crystalline Sc4Ag3Rh at its relaxed geometry.

Structure (CIF):
```
data_Sc4Ag3Rh
_cell_length_a 3.3583
_cell_length_b 3.3583
_cell_length_c 13.7376
_cell_angle_alpha 90.00
_cell_angle_beta 90.00
_cell_angle_gamma 90.00
_space_group_name_H-M_alt 'P 4/m m m'
_space_group_IT_number 123
_space_group_name_Hall '-P 4 2'
loop_
_atom_site_label
_atom_site_type_symbol
_atom_site_fract_x
_atom_site_fract_y
_atom_site_fract_z
Sc1 Sc 0.0000 0.0000 0.1119
Sc2 Sc 0.0000 0.0000 0.3703
Ag1 Ag 0.5000 0.5000 0.2436
Ag2 Ag 0.5000 0.5000 0.5000
Rh1 Rh 0.5000 0.5000 0.0000
```

For the total energy, the calculation gives -44.851 eV/cell. The energy of formation comes out at -43.7 kJ per mole of atoms. As for the volume: 155 Å³/cell. The value obtained for the magnetic moment is 0.00 μB/cell.